Rb2As2Se after structural relaxation. Source: the Alexandria database, functional PBE.

Properties
Its density of states at the Fermi level is 3.28 states/eV/cell. For the formation energy from raw total energies, the calculation gives -286 meV per atom. The calculation puts the total energy at -16.15 eV/cell. The magnetization comes out at 0.000 μB per atom.

a = 6.8813 Å, b = 6.8813 Å, c = 6.1948 Å
α = 56.26°, β = 56.26°, γ = 90.00°
Positions (direct):
As 0.3455 0.3455 0.3090
As 0.6545 0.6545 0.6910
Se 0.0000 0.0000 0.0000
Rb 0.7500 0.2500 0.5000
Rb 0.2500 0.7500 0.5000

***

Rb2AsSe after structural relaxation. Source: the Alexandria database, functional PBE.

Properties
Its density of states at the Fermi level is 8.67 states/eV/cell. The value obtained for the energy above the most stable polymorph in this dataset is 0.0 meV per atom. For the formation energy from raw total energies, the calculation gives -354 meV per atom. The calculation puts the total energy at -22.97 eV/cell. The magnetization comes out at 0.000 μB per atom.

a = 12.5787 Å, b = 12.5787 Å, c = 9.2795 Å
α = 47.33°, β = 47.33°, γ = 90.00°
Positions (direct):
As 0.5000 0.5000 0.0000
As 0.2500 0.7500 0.5000
Se 0.0000 0.0000 0.0000
Se 0.7500 0.2500 0.5000
Rb 0.8225 0.1250 0.2500
Rb 0.9275 0.6250 0.2500
Rb 0.3750 0.1775 0.7500
Rb 0.8750 0.0725 0.7500